[1]
Computed, not measured: crystalline Y4CoAg at its relaxed geometry at the GGA-PBE level of DFT.

## Properties
Total moment = 1.85 μB per formula unit
Distance to the lowest polymorph of the same formula = 1.004 eV per atom
SG = F-43m, No. 216
Formation energy = 0.7830 eV/atom
Volume = 27.30 Å³ per atom
Electronic total energy = -5.19 eV per atom

a b c (Å): 6.142 6.142 6.142
angles (deg): 60.00 60.00 60.00
Atoms (fractional coordinates):
Y 0.876 0.375 0.375
Y 0.375 0.375 0.876
Y 0.375 0.876 0.375
Y 0.375 0.375 0.375
Co 0.000 0.000 0.000
Ag 0.750 0.750 0.750

***

[2]
Computed, not measured: crystalline Y2CoAg at its relaxed geometry at the GGA-PBE level of DFT.

## Properties
Total moment = 0.00 μB per formula unit
SG = Amm2, No. 38
Formation energy = -0.1590 eV/atom
Volume = 22.37 Å³ per atom
Electronic total energy = -5.88 eV per atom

a b c (Å): 4.409 3.859 5.603
angles (deg): 69.80 90.00 90.00
Atoms (fractional coordinates):
Y 0.500 0.271 0.332
Y 0.000 0.986 0.904
Co 0.500 0.544 0.787
Ag 0.000 0.699 0.478

***

[3]
Computed, not measured: crystalline Y2CoAg at its relaxed geometry at the GGA-PBE level of DFT.

## Properties
Total moment = 0.44 μB per formula unit
SG = P4/mmm, No. 123
Formation energy = -0.1637 eV/atom
Volume = 21.63 Å³ per atom
Electronic total energy = -5.89 eV per atom

a b c (Å): 4.952 4.952 3.528
angles (deg): 90.01 90.01 89.99
Atoms (fractional coordinates):
Y 0.000 0.000 0.000
Y 0.500 0.500 0.000
Co 0.000 0.500 0.500
Ag 0.500 0.000 0.500